Density functional theory data (PBE) for a relaxed Pm4Y3Ho3 crystal.

Magnetic moment, Bohr magnetons per cell: 0.00
Energy, eV per atom: -5.1272
V, A^3/atom: 33.014
Space-group type: Amm2, No. 38
Energy of formation from the pure elements, eV per atom: 0.086

Lattice parameters (Å, degrees): 3.7985 9.3228 9.3228 90.02 90.00 90.00
Last column: nearest neighbours and their distance in Å.
Fractional coordinates of all 10 atoms:
Pm (0.0000, 0.6309, 0.3691)  6 Ho 3.26-3.39, 1 Pm 3.43
Pm (0.0000, 0.3708, 0.6292)  4 Y 3.27-3.66, 4 Ho 3.38, 1 Pm 3.43
Pm (0.0000, 0.8680, 0.8703)  4 Ho 3.26-3.38, 3 Y 3.41-3.64, 1 Pm 3.45
Pm (0.0000, 0.1297, 0.1320)  4 Ho 3.26-3.38, 3 Y 3.41-3.64, 1 Pm 3.45
Y (0.0000, 0.5000, 0.0000)  4 Pm 3.64-3.67, 4 Y 3.80-3.95, 6 Ho 3.95-3.96
Y (0.0000, 0.0000, 0.5000)  4 Pm 3.64-3.67, 4 Y 3.80-3.95, 6 Ho 3.95-3.96
Y (0.5000, 0.1687, 0.8313)  6 Pm 3.27-3.41
Ho (0.5000, 0.8314, 0.1686)  6 Pm 3.26-3.38
Ho (0.5000, 0.3318, 0.3313)  6 Pm 3.26-3.39
Ho (0.5000, 0.6687, 0.6682)  6 Pm 3.26-3.39